BeTe2Cl: relaxed, GGA-PBE.

abc: 7.170 7.170 7.170
angles: 90.00 90.00 90.00
Element x y z (fractional)
Be 0.000 0.000 0.000
Be 0.000 0.500 0.500
Be 0.500 0.000 0.500
Be 0.500 0.500 0.000
Te 0.000 0.000 0.500
Te 0.000 0.500 0.000
Te 0.250 0.250 0.750
Te 0.250 0.750 0.250
Te 0.500 0.000 0.000
Te 0.500 0.500 0.500
Te 0.750 0.250 0.250
Te 0.750 0.750 0.750
Cl 0.250 0.250 0.250
Cl 0.250 0.750 0.750
Cl 0.750 0.250 0.750
Cl 0.750 0.750 0.250

Magnetization   0.00 Bohr magnetons per cell
Fermi-level density of states   2.83 states/eV/f.u.
SG   F-43m
E   -2.39 eV/atom
Energy above the lowest structure with this stoichiometry   923 meV per atom